{
  "formula": "PIr2Pt",
  "functional": "PBEsol",
  "state": "relaxed",
  "lattice_angstrom": [[3.912, 0.000, 0.000], [0.000, 3.912, 0.000], [0.000, 0.000, 3.648]],
  "species": ["P", "Ir", "Ir", "Pt"],
  "frac_coords": [[0.000, 0.000, 0.000], [0.000, 0.500, 0.500], [0.500, 0.000, 0.500], [0.500, 0.500, 0.000]],
  "e_form_mev_per_atom": 164,
  "crystal_system": "tetragonal"
}